1.
{
  "formula": "CaYSc2",
  "functional": "meta-GGA SCAN",
  "state": "PBEsol geometry",
  "lattice_angstrom": [[3.427, -4.833, 0.000], [3.427, 4.833, 0.000], [0.000, 0.000, 3.404]],
  "species": ["Ca", "Y", "Sc", "Sc"],
  "frac_coords": [[0.000, 0.000, 0.000], [0.500, 0.500, 0.000], [0.000, 0.500, 0.500], [0.500, 0.000, 0.500]],
  "total_energy_ev_per_atom": -16.26,
  "rho_g_cm3": 3.22,
  "formation_enthalpy_0k_ev_per_atom": 0.235
}

***

2.
{
  "formula": "CaY2Sc",
  "functional": "meta-GGA SCAN",
  "state": "PBEsol geometry",
  "lattice_angstrom": [[3.478, 0.000, 0.000], [0.000, 4.925, 0.000], [0.000, 0.000, 7.086]],
  "species": ["Ca", "Y", "Y", "Sc"],
  "frac_coords": [[0.000, 0.000, 0.000], [0.000, 0.000, 0.487], [0.500, 0.500, 0.726], [0.500, 0.500, 0.262]],
  "total_energy_ev_per_atom": -19.73,
  "rho_g_cm3": 3.60,
  "formation_enthalpy_0k_ev_per_atom": 0.165
}

***

3.
{
  "formula": "CaY2Sc",
  "functional": "meta-GGA SCAN",
  "state": "PBEsol geometry",
  "lattice_angstrom": [[0.000, 3.931, 3.931], [3.931, 0.000, 3.931], [3.931, 3.931, 0.000]],
  "species": ["Ca", "Y", "Y", "Sc"],
  "frac_coords": [[0.000, 0.000, 0.000], [0.250, 0.250, 0.250], [0.500, 0.500, 0.500], [0.750, 0.750, 0.750]],
  "total_energy_ev_per_atom": -19.68,
  "rho_g_cm3": 3.59,
  "formation_enthalpy_0k_ev_per_atom": 0.212
}

***

4.
{
  "formula": "CaY2Sc",
  "functional": "meta-GGA SCAN",
  "state": "PBEsol geometry",
  "lattice_angstrom": [[3.408, -5.602, 0.000], [3.408, 5.602, 0.000], [-1.096, 0.000, 3.189]],
  "species": ["Ca", "Y", "Y", "Sc"],
  "frac_coords": [[0.000, 0.000, 0.000], [0.000, 0.500, 0.500], [0.500, 0.000, 0.500], [0.500, 0.500, 0.000]],
  "total_energy_ev_per_atom": -19.69,
  "rho_g_cm3": 3.58,
  "formation_enthalpy_0k_ev_per_atom": 0.206
}

***

5.
{
  "formula": "CaSc2Zn",
  "functional": "meta-GGA SCAN",
  "state": "PBEsol geometry",
  "lattice_angstrom": [[-1.686, 2.569, 5.459], [1.686, -2.569, 5.459], [1.686, 2.569, -5.459]],
  "species": ["Ca", "Sc", "Sc", "Zn"],
  "frac_coords": [[0.000, 0.000, 0.000], [0.291, 0.791, 0.500], [0.709, 0.209, 0.500], [0.500, 0.500, 0.000]],
  "total_energy_ev_per_atom": -13.01,
  "rho_g_cm3": 3.43,
  "formation_enthalpy_0k_ev_per_atom": -0.093
}

***

6.
{
  "formula": "CaScZn",
  "functional": "meta-GGA SCAN",
  "state": "PBEsol geometry",
  "lattice_angstrom": [[0.000, 3.383, 3.383], [3.383, 0.000, 3.383], [3.383, 3.383, 0.000]],
  "species": ["Ca", "Sc", "Zn"],
  "frac_coords": [[0.000, 0.000, 0.000], [0.250, 0.250, 0.250], [0.750, 0.750, 0.750]],
  "total_energy_ev_per_atom": -11.74,
  "rho_g_cm3": 3.23,
  "formation_enthalpy_0k_ev_per_atom": 0.730
}

***

7.
{
  "formula": "CaSc2Zn",
  "functional": "meta-GGA SCAN",
  "state": "PBEsol geometry",
  "lattice_angstrom": [[-1.765, 2.480, 5.343], [1.765, -2.480, 5.343], [1.765, 2.480, -5.343]],
  "species": ["Ca", "Sc", "Sc", "Zn"],
  "frac_coords": [[0.000, 0.000, 0.000], [0.286, 0.786, 0.500], [0.578, 0.578, 0.000], [0.773, 0.273, 0.500]],
  "total_energy_ev_per_atom": -12.91,
  "rho_g_cm3": 3.47,
  "formation_enthalpy_0k_ev_per_atom": 0.005
}

***

8.
{
  "formula": "Ca2ScZn",
  "functional": "meta-GGA SCAN",
  "state": "PBEsol geometry",
  "lattice_angstrom": [[4.897, 0.000, 0.000], [0.000, 4.897, 0.000], [0.000, 0.000, 4.393]],
  "species": ["Ca", "Ca", "Sc", "Zn"],
  "frac_coords": [[0.000, 0.500, 0.000], [0.500, 0.000, 0.000], [0.000, 0.000, 0.500], [0.500, 0.500, 0.500]],
  "total_energy_ev_per_atom": -11.66,
  "rho_g_cm3": 3.00,
  "formation_enthalpy_0k_ev_per_atom": 0.110
}

***

9.
{
  "formula": "CaSc2Zn",
  "functional": "meta-GGA SCAN",
  "state": "PBEsol geometry",
  "lattice_angstrom": [[4.492, 0.000, 0.000], [0.000, 4.492, 0.000], [0.000, 0.000, 4.514]],
  "species": ["Ca", "Sc", "Sc", "Zn"],
  "frac_coords": [[0.000, 0.000, 0.000], [0.000, 0.500, 0.500], [0.500, 0.000, 0.500], [0.500, 0.500, 0.000]],
  "total_energy_ev_per_atom": -12.85,
  "rho_g_cm3": 3.56,
  "formation_enthalpy_0k_ev_per_atom": 0.063
}

***

10.
{
  "formula": "CaZr2Sc",
  "functional": "meta-GGA SCAN",
  "state": "PBEsol geometry",
  "lattice_angstrom": [[-2.263, 2.263, 4.733], [2.263, -2.263, 4.733], [2.263, 2.263, -4.733]],
  "species": ["Ca", "Zr", "Zr", "Sc"],
  "frac_coords": [[0.000, 0.000, 0.000], [0.250, 0.750, 0.500], [0.750, 0.250, 0.500], [0.500, 0.500, 0.000]],
  "total_energy_ev_per_atom": -20.98,
  "rho_g_cm3": 4.58,
  "formation_enthalpy_0k_ev_per_atom": 0.349
}

***

11.
{
  "formula": "CaZrSc3",
  "functional": "meta-GGA SCAN",
  "state": "PBEsol geometry",
  "lattice_angstrom": [[5.217, 0.000, 0.000], [0.000, 5.217, 0.000], [0.000, 0.000, 5.217]],
  "species": ["Ca", "Zr", "Sc", "Sc", "Sc"],
  "frac_coords": [[0.000, 0.000, 0.000], [0.500, 0.500, 0.500], [0.000, 0.500, 0.500], [0.500, 0.000, 0.500], [0.500, 0.500, 0.000]],
  "total_energy_ev_per_atom": -16.05,
  "rho_g_cm3": 3.11,
  "formation_enthalpy_0k_ev_per_atom": 0.561
}

***

12.
{
  "formula": "CaZr2Sc",
  "functional": "meta-GGA SCAN",
  "state": "PBEsol geometry",
  "lattice_angstrom": [[3.164, 0.000, 0.000], [0.000, 4.605, 0.000], [0.000, 0.000, 6.831]],
  "species": ["Ca", "Zr", "Zr", "Sc"],
  "frac_coords": [[0.000, 0.000, 0.000], [0.500, 0.500, 0.286], [0.500, 0.500, 0.714], [0.000, 0.000, 0.500]],
  "total_energy_ev_per_atom": -21.06,
  "rho_g_cm3": 4.46,
  "formation_enthalpy_0k_ev_per_atom": 0.268
}